# BaDyTm2 (PBE-GGA, relaxed)
data_BaDyTm2
_chemical_formula_sum 'Ba3 Dy3 Tm6'
_cell_length_a 3.5671
_cell_length_b 3.5671
_cell_length_c 38.2198
_cell_angle_alpha 90.00
_cell_angle_beta 90.00
_cell_angle_gamma 120.00
_space_group_name_H-M_alt 'R -3 m'
_space_group_IT_number 166
_space_group_name_Hall '-R 3 2"'
loop_
_atom_site_label
_atom_site_fract_x
_atom_site_fract_y
_atom_site_fract_z
_atom_site_occupancy
Ba1 0.0000 0.0000 0.0000 1
Dy1 0.0000 0.0000 0.5000 1
Tm1 0.0000 0.0000 0.0939 1
# * VASP energy: -43.47 eV per cell
# * total magnetization: 0.34 μB per cell
# * volume: 35.098 Å³/atom
# * D(E_F): 16.86 states/eV per cell
# * formation energy from the elements: 0.24 eV per atom


# BaDy2Y (PBE-GGA, relaxed)
data_BaDy2Y
_chemical_formula_sum 'Ba3 Dy6 Y3'
_cell_length_a 3.6126
_cell_length_b 3.6126
_cell_length_c 38.5680
_cell_angle_alpha 90.00
_cell_angle_beta 90.00
_cell_angle_gamma 120.00
_space_group_name_H-M_alt 'R -3 m'
_space_group_IT_number 166
_space_group_name_Hall '-R 3 2"'
loop_
_atom_site_label
_atom_site_fract_x
_atom_site_fract_y
_atom_site_fract_z
_atom_site_occupancy
Ba1 0.0000 0.0000 0.0000 1
Dy1 0.0000 0.0000 0.0936 1
Y1 0.0000 0.0000 0.5000 1
# * VASP energy: -50.06 eV per cell
# * total magnetization: 0.01 μB per cell
# * volume: 36.325 Å³/atom
# * D(E_F): 15.85 states/eV per cell
# * formation energy from the elements: 0.23 eV per atom


# BaDy2Zn (PBE-GGA, relaxed)
data_BaDy2Zn
_chemical_formula_sum 'Ba3 Dy6 Zn3'
_cell_length_a 3.6501
_cell_length_b 3.6501
_cell_length_c 34.7908
_cell_angle_alpha 90.00
_cell_angle_beta 90.00
_cell_angle_gamma 120.00
_space_group_name_H-M_alt 'R -3 m'
_space_group_IT_number 166
_space_group_name_Hall '-R 3 2"'
loop_
_atom_site_label
_atom_site_fract_x
_atom_site_fract_y
_atom_site_fract_z
_atom_site_occupancy
Ba1 0.0000 0.0000 0.0000 1
Dy1 0.0000 0.0000 0.1060 1
Zn1 0.0000 0.0000 0.5000 1
# * VASP energy: -35.33 eV per cell
# * total magnetization: 0.33 μB per cell
# * offset from the most stable computed form: 0.1843 eV/atom
# * volume: 33.452 Å³/atom
# * D(E_F): 12.21 states/eV per cell
# * formation energy from the elements: 0.16 eV per atom


# BaDy2Zn (PBE-GGA, relaxed)
data_BaDy2Zn
_chemical_formula_sum 'Ba1 Dy2 Zn1'
_cell_length_a 3.683
_cell_length_b 3.683
_cell_length_c 9.598
_cell_angle_alpha 90.00
_cell_angle_beta 90.00
_cell_angle_gamma 90.00
_space_group_name_H-M_alt 'P 4/m m m'
_space_group_IT_number 123
_space_group_name_Hall '-P 4 2'
loop_
_atom_site_label
_atom_site_fract_x
_atom_site_fract_y
_atom_site_fract_z
_atom_site_occupancy
Ba1 0.000 0.000 0.000 1
Dy1 0.500 0.500 0.327 1
Zn1 0.000 0.000 0.500 1
# * VASP energy: -12.51 eV per cell
# * total magnetization: 0.00 μB per cell
# * offset from the most stable computed form: 0.0000 eV/atom
# * volume: 32.549 Å³/atom
# * D(E_F): 4.86 states/eV per cell
# * formation energy from the elements: -0.03 eV per atom


# BaDy4Zn5 (PBE-GGA, relaxed)
data_BaDy4Zn5
_chemical_formula_sum 'Ba1 Dy4 Zn5'
_cell_length_a 3.637
_cell_length_b 3.637
_cell_length_c 18.522
_cell_angle_alpha 90.00
_cell_angle_beta 90.00
_cell_angle_gamma 90.00
_space_group_name_H-M_alt 'P 4/m m m'
_space_group_IT_number 123
_space_group_name_Hall '-P 4 2'
loop_
_atom_site_label
_atom_site_fract_x
_atom_site_fract_y
_atom_site_fract_z
_atom_site_occupancy
Ba1 0.000 0.000 0.000 1
Dy1 0.000 0.000 0.217 1
Dy2 0.000 0.000 0.406 1
Zn1 0.500 0.500 0.130 1
Zn2 0.500 0.500 0.311 1
Zn3 0.500 0.500 0.500 1
# * VASP energy: -29.55 eV per cell
# * total magnetization: 0.00 μB per cell
# * volume: 24.495 Å³/atom
# * D(E_F): 9.76 states/eV per cell
# * formation energy from the elements: -0.29 eV per atom


# Ba3Er (PBE-GGA, relaxed)
data_Ba3Er
_chemical_formula_sum 'Ba6 Er2'
_cell_length_a 8.3488
_cell_length_b 8.3488
_cell_length_c 6.7359
_cell_angle_alpha 90.00
_cell_angle_beta 90.00
_cell_angle_gamma 120.00
_space_group_name_H-M_alt 'P 63/m m c'
_space_group_IT_number 194
_space_group_name_Hall '-P 6c 2c'
loop_
_atom_site_label
_atom_site_fract_x
_atom_site_fract_y
_atom_site_fract_z
_atom_site_occupancy
Ba1 0.1720 0.3440 0.2500 1
Er1 0.3333 0.6667 0.7500 1
# * VASP energy: -18.80 eV per cell
# * total magnetization: 0.02 μB per cell
# * offset from the most stable computed form: 0.0000 eV/atom
# * volume: 50.826 Å³/atom
# * D(E_F): 13.35 states/eV per cell
# * formation energy from the elements: 0.23 eV per atom